{"formula": "Cs2AlHg4Au2", "functional": "PBE-GGA", "state": "optimized geometry", "cell": [[5.8978, -3.6354, 0.0000], [5.8978, 3.6354, 0.0000], [-0.2551, 0.0000, 6.4523]], "species": ["Cs", "Cs", "Al", "Hg", "Hg", "Hg", "Hg", "Au", "Au"], "fractional_positions": [[0.1488, 0.1488, 0.3546], [0.8512, 0.8512, 0.6454], [0.5000, 0.5000, 0.5000], [0.1501, 0.6274, 0.1552], [0.3726, 0.8499, 0.8448], [0.6274, 0.1501, 0.1552], [0.8499, 0.3726, 0.8448], [0.3527, 0.3527, 0.7763], [0.6473, 0.6473, 0.2237]], "ef_ev_per_atom": -0.15, "n_ef_per_ev_cell": 2.8, "space_group": "C2/m", "dft_energy_ev_per_atom": -1.614}